[1]
Y2Si2Rh5Au | Alexandria via LeMat-Bulk | PBE-GGA | relaxed; E_form (uncorrected) = -0.87 eV per atom; SG = P4/mbm, No. 127; E_tot = -144.9 eV for the cell shown; total magnetization = 0.00 μB/cell
1.0
9.779 0.000 0.000
0.000 9.779 0.000
0.000 0.000 3.499
Y Si Rh Au
4 4 10 2
Cartesian
1.713 3.176 0.000
3.176 8.066 0.000
6.602 1.713 0.000
8.066 6.602 0.000
1.212 6.101 0.000
3.677 1.212 0.000
6.101 8.567 0.000
8.567 3.677 0.000
0.000 4.889 1.750
0.671 7.668 1.750
2.111 0.671 1.750
2.779 5.560 1.750
4.218 2.779 1.750
4.889 0.000 1.750
5.560 7.000 1.750
7.000 4.218 1.750
7.668 9.108 1.750
9.108 2.111 1.750
0.000 0.000 0.000
4.889 4.889 0.000

[2]
InPd3F | Alexandria via LeMat-Bulk | PBE-GGA | relaxed; E_form (uncorrected) = 0.57 eV per atom; SG = Pm-3m, No. 221; E_tot = -17.4 eV for the cell shown; total magnetization = 0.00 μB/cell
1.0
5.038 0.000 0.000
0.000 5.038 0.000
0.000 0.000 5.038
In Pd F
1 3 1
Cartesian
0.000 0.000 0.000
0.000 0.000 2.519
0.000 2.519 0.000
2.519 0.000 0.000
2.519 2.519 2.519

[3]
Li3Ac3BiO8 | Alexandria via LeMat-Bulk | PBE-GGA | relaxed; E_form (uncorrected) = -2.24 eV per atom; SG = C2/m, No. 12; E_tot = -95.2 eV for the cell shown; total magnetization = 0.00 μB/cell
1.0
4.679 -3.937 0.000
4.679 3.937 0.000
-1.396 0.000 5.959
Li Ac Bi O
3 3 1 8
Cartesian
0.000 0.000 0.000
1.642 1.968 2.980
1.642 -1.968 2.980
2.339 1.968 0.000
2.339 -1.968 0.000
3.981 0.000 2.980
-0.698 0.000 2.980
3.421 2.226 4.415
4.541 2.226 1.544
1.294 0.000 4.129
2.242 0.000 1.344
5.720 0.000 4.615
6.668 0.000 1.830
3.421 -2.226 4.415
4.541 -2.226 1.544

[4]
GaSn2Pd | Alexandria via LeMat-Bulk | PBE-GGA | relaxed; energy of formation = -0.5 eV/f.u.; SG = R-3m, No. 166; E_tot = -16.7 eV for the cell shown; total magnetization = 0.00 μB/cell
1.0
1.586 0.915 10.216
-1.586 0.915 10.216
0.000 -1.831 10.216
Ga Sn Pd
1 2 1
Cartesian
0.000 0.000 0.000
0.000 0.000 2.931
0.000 0.000 27.717
0.000 0.000 15.324